{
  "formula": "TbPrDyTh",
  "functional": "PBE",
  "state": "optimized geometry",
  "cell": [[-0.4454, -3.3204, -1.3255], [1.3427, -1.3933, 3.0391], [-9.3357, -0.3332, 3.9719]],
  "species": ["Th", "Dy", "Pr", "Tb"],
  "fractional_positions": [[0.0000, 0.0000, 0.5718], [0.5000, 0.5000, 0.8099], [0.0000, 0.0000, 0.0705], [0.5000, 0.5000, 0.3326]],
  "delta_e_f_ev_per_atom": 0.017,
  "polymorph_energy_mev_per_atom": 0,
  "total_energy_ev_per_cell": -21.364,
  "volume_a3_per_atom": 32.9
}

***

{
  "formula": "Tb3PrDyTh",
  "functional": "PBE",
  "state": "optimized geometry",
  "cell": [[5.0826, 0.0000, 0.0000], [0.0000, 7.9323, -1.1614], [0.0000, -3.3001, 10.2107]],
  "species": ["Th", "Tb", "Tb", "Tb", "Dy", "Dy", "Tb", "Th", "Tb", "Tb", "Pr", "Pr"],
  "fractional_positions": [[0.2500, 0.6195, 0.1213], [0.2500, 0.6167, 0.7940], [0.7500, 0.8667, 0.0427], [0.7500, 0.3833, 0.2060], [0.2500, 0.1294, 0.6284], [0.7500, 0.8706, 0.3716], [0.2500, 0.6257, 0.4557], [0.7500, 0.3805, 0.8787], [0.7500, 0.3743, 0.5443], [0.2500, 0.1333, 0.9573], [0.7500, 0.8764, 0.7080], [0.2500, 0.1236, 0.2920]],
  "delta_e_f_ev_per_atom": 0.028,
  "total_energy_ev_per_cell": -61.052,
  "volume_a3_per_atom": 32.7
}

***

{
  "formula": "Tb5PrDyTh2",
  "functional": "PBE",
  "state": "optimized geometry",
  "cell": [[8.7530, 0.0000, 0.0000], [0.0000, 8.7530, 0.0000], [-4.3765, -4.3765, 7.8450]],
  "species": ["Tb", "Tb", "Th", "Dy", "Tb", "Th", "Tb", "Tb", "Tb", "Th", "Tb", "Pr", "Dy", "Th", "Tb", "Pr", "Tb", "Tb"],
  "fractional_positions": [[0.0000, 0.0000, 0.0000], [0.4312, 0.3468, 0.2780], [0.8801, 0.6199, 0.0000], [0.7500, 0.7500, 0.5000], [0.0688, 0.5688, 0.7220], [0.6199, 0.1199, 0.0000], [0.5688, 0.6532, 0.7220], [0.6532, 0.1532, 0.7220], [0.1532, 0.0688, 0.7220], [0.3801, 0.8801, 0.0000], [0.5000, 0.5000, 0.0000], [0.2500, 0.7500, 0.5000], [0.2500, 0.2500, 0.5000], [0.1199, 0.3801, 0.0000], [0.9312, 0.4312, 0.2780], [0.7500, 0.2500, 0.5000], [0.3468, 0.8468, 0.2780], [0.8468, 0.9312, 0.2780]],
  "delta_e_f_ev_per_atom": 0.322,
  "total_energy_ev_per_cell": -88.942,
  "volume_a3_per_atom": 33.4
}

***

{
  "formula": "Tb6Pr3DyTh2",
  "functional": "PBE",
  "state": "optimized geometry",
  "cell": [[6.2405, 0.0003, 0.0025], [-3.1185, 5.4054, 0.0025], [-1.0499, -1.8178, 11.6931]],
  "species": ["Tb", "Pr", "Tb", "Tb", "Tb", "Th", "Pr", "Tb", "Pr", "Th", "Tb", "Dy"],
  "fractional_positions": [[0.7439, 0.7439, 0.2439], [0.1663, 0.8337, 0.5000], [0.5812, 0.9186, 0.7562], [0.2561, 0.2561, 0.7561], [0.0814, 0.4188, 0.2438], [0.6667, 0.3333, 0.0000], [0.5000, 0.5000, 0.5000], [0.9186, 0.5812, 0.7562], [0.8337, 0.1663, 0.5000], [0.3333, 0.6667, 0.0000], [0.4188, 0.0814, 0.2438], [0.0000, 0.0000, 0.0000]],
  "delta_e_f_ev_per_atom": 0.020,
  "total_energy_ev_per_cell": -61.318,
  "volume_a3_per_atom": 32.9
}

***

{
  "formula": "Tb2PrDy5Th",
  "functional": "PBE",
  "state": "optimized geometry",
  "cell": [[-3.7936, -3.9332, -1.7380], [8.4242, -0.7695, -7.1872], [4.2953, -6.6837, 5.7501]],
  "species": ["Dy", "Tb", "Dy", "Dy", "Dy", "Tb", "Th", "Th", "Dy", "Tb", "Dy", "Dy", "Dy", "Dy", "Tb", "Pr", "Pr", "Dy"],
  "fractional_positions": [[0.0143, 0.0285, 0.0200], [0.1275, 0.2550, 0.7135], [0.6949, 0.3897, 0.2132], [0.4681, 0.9362, 0.7395], [0.4005, 0.8010, 0.0408], [0.1163, 0.2326, 0.3337], [0.4084, 0.8169, 0.4220], [0.5916, 0.1831, 0.9220], [0.2736, 0.5471, 0.3222], [0.8725, 0.7450, 0.2135], [0.9857, 0.9715, 0.5200], [0.7264, 0.4529, 0.8222], [0.5319, 0.0638, 0.2395], [0.3051, 0.6103, 0.7132], [0.8837, 0.7674, 0.8337], [0.1907, 0.3814, 0.0191], [0.8093, 0.6186, 0.5191], [0.5995, 0.1990, 0.5408]],
  "delta_e_f_ev_per_atom": 0.162,
  "total_energy_ev_per_cell": -86.018,
  "volume_a3_per_atom": 33.5
}

***

{
  "formula": "TbPr2Dy2Th2",
  "functional": "PBE",
  "state": "optimized geometry",
  "cell": [[3.4927, 0.0000, 0.0000], [-1.7464, 8.9887, -1.0735], [0.0000, -3.2730, 7.9247]],
  "species": ["Pr", "Dy", "Th", "Dy", "Tb", "Th", "Pr"],
  "fractional_positions": [[0.3566, 0.7132, 0.0826], [0.7898, 0.5796, 0.3804], [0.5658, 0.1315, 0.2259], [0.2102, 0.4204, 0.6196], [0.0000, 0.0000, 0.5000], [0.4342, 0.8685, 0.7741], [0.6434, 0.2868, 0.9174]],
  "delta_e_f_ev_per_atom": 0.171,
  "total_energy_ev_per_cell": -37.033,
  "volume_a3_per_atom": 33.8
}